TaHgTe: relaxed, PBE-GGA.

Cell lengths 14.4835, 3.7374, 5.6421 Å; angles 90.00, 101.56, 90.00 degrees
Closest atoms and distances in Å follow each position.
Space group Cm (No. 8)
Asymmetric unit:
Ta1 0.0000 0.0000 0.0000 (multiplicity 2)  2 Ta 2.77, 4 Hg 3.00-3.03, 3 Te 3.02-3.05
Ta2 0.0555 0.5000 0.3641 (multiplicity 2)  2 Ta 2.77, 4 Te 2.80, 1 Hg 2.84
Hg1 0.1450 0.5000 0.8607 (multiplicity 2)  3 Ta 2.84-3.03, 2 Te 3.18
Hg2 0.3343 0.0000 0.9159 (multiplicity 2)  2 Ta 3.00, 2 Hg 3.28, 1 Te 3.36
Te1 0.1951 0.0000 0.3250 (multiplicity 2)  3 Ta 2.80-3.05
Te2 0.4231 0.5000 0.4594 (multiplicity 2)  4 Ta 2.80-3.03

Density of states at the Fermi level, states/eV/f.u.: 1.28
Size of the total moment, μB/f.u.: 0.00
E_form (uncorrected), eV per atom: 0.109
Crystal system: monoclinic
E_tot, eV/cell: -59.9
Distance to the lowest polymorph of the same formula, eV per atom: 0.179


TaHgTe: relaxed, PBE-GGA.

Cell lengths 6.7142, 6.7142, 6.7142 Å; angles 90.00, 90.00, 90.00 degrees
Closest atoms and distances in Å follow each position.
Space group F-43m (No. 216)
Asymmetric unit:
Ta1 0.0000 0.0000 0.0000 (multiplicity 4)  4 Hg 2.91, 4 Te 2.91
Hg1 0.2500 0.2500 0.7500 (multiplicity 4)  4 Ta 2.91
Te1 0.2500 0.2500 0.2500 (multiplicity 4)  4 Ta 2.91

Density of states at the Fermi level, states/eV/f.u.: 3.03
Size of the total moment, μB/f.u.: 1.01
E_form (uncorrected), eV per atom: 0.573
Crystal system: cubic
E_tot, eV/cell: -54.3
Distance to the lowest polymorph of the same formula, eV per atom: 0.644


Ta4HgTe8: relaxed, PBE-GGA.

Cell lengths 18.8450, 3.6691, 13.3748 Å; angles 90.00, 130.75, 90.00 degrees
Closest atoms and distances in Å follow each position.
Space group C2/m (No. 12)
Asymmetric unit:
Ta1 0.1608 0.0000 0.4753 (multiplicity 4)  6 Te 2.75-2.85
Ta2 0.1824 0.5000 0.8662 (multiplicity 4)  6 Te 2.77-3.00
Hg1 0.0000 0.0000 0.0000 (multiplicity 2)  8 Te 3.45-3.61, 2 Hg 3.67
Te1 0.0359 0.0000 0.7421 (multiplicity 4)  3 Ta 2.79-2.85
Te2 0.1263 0.5000 0.5982 (multiplicity 4)  3 Ta 2.81-3.00
Te3 0.1508 0.5000 0.3069 (multiplicity 4)  3 Ta 2.75-2.81
Te4 0.1841 0.5000 0.0746 (multiplicity 4)  3 Ta 2.77-2.78

Density of states at the Fermi level, states/eV/f.u.: 9.04
Size of the total moment, μB/f.u.: 0.00
E_form (uncorrected), eV per atom: -0.235
Crystal system: monoclinic
E_tot, eV/cell: -151.8


Which mass density belongs to each record? In order, 11.302; 11.173; 9.221 g cm⁻³.